Below is an optimized crystal structure of ZrCo, with properties calculated at the PBE level.

Lattice parameters (Å, degrees): 3.5973 3.5973 3.2012 90.00 90.00 120.00
Space group P-6m2 (No. 187)
One atom of each set of equivalent atoms:
1 Zr 0.0000 0.0000 0.0000 x1
2 Co 0.6667 0.3333 0.5000 x1

**DOS(E_F)**: 0.8595 states/eV per atom
**Energy of formation**: 0.041 eV/atom
**Calculated volume**: 17.9 Å³/atom